1.
## TlCdSi2 (PBE)

Data for a geometry-optimized TlCdSi2 structure.

The structure in POSCAR format:
```
TlCdSi2
1.0
-0.321 -1.384 3.422
-0.591 -3.371 -1.419
6.616 -1.215 0.129
Cd Si Tl
1 2 1
Direct
0.500 0.500 0.750 Cd
0.000 0.000 0.930 Si
0.000 0.000 0.570 Si
0.500 0.500 0.250 Tl
```

Calculated values
SG: P4/mmm, No. 123
Offset from the most stable computed form in eV per atom: 0.2854


2.
## TlCdSi2 (PBE)

Data for a geometry-optimized TlCdSi2 structure.

The structure in POSCAR format:
```
TlCdSi2
1.0
-1.719 -2.419 2.367
0.230 -3.740 -0.602
5.814 -2.004 4.707
Cd Si Tl
1 2 1
Direct
0.737 0.737 0.793 Cd
0.978 0.978 0.056 Si
0.278 0.278 0.176 Si
0.507 0.507 0.475 Tl
```

Calculated values
SG: Cm, No. 8
Offset from the most stable computed form in eV per atom: 0.0000


3.
## TlCd2Si (PBE)

Data for a geometry-optimized TlCd2Si structure.

The structure in POSCAR format:
```
TlCd2Si
1.0
-0.120 -10.097 -4.658
2.886 -10.063 -3.750
0.648 -10.964 -1.739
Cd Si Tl
2 1 1
Direct
0.997 0.997 0.997 Cd
0.245 0.245 0.245 Cd
0.504 0.504 0.504 Si
0.754 0.754 0.754 Tl
```

Calculated values
SG: R3m, No. 160
Offset from the most stable computed form in eV per atom: 0.0597


4.
## Tl2CdSi (PBE)

Data for a geometry-optimized Tl2CdSi structure.

The structure in POSCAR format:
```
Tl2CdSi
1.0
-4.531 -2.152 -1.326
1.539 -2.662 -0.939
0.664 -4.414 4.896
Cd Si Tl
1 1 2
Direct
0.500 0.250 0.250 Cd
0.500 0.750 0.750 Si
0.000 0.846 0.990 Tl
0.000 0.654 0.510 Tl
```

Calculated values
SG: P2/m, No. 10
Offset from the most stable computed form in eV per atom: 0.0840


5.
## Tl2CdSi (PBE)

Data for a geometry-optimized Tl2CdSi structure.

The structure in POSCAR format:
```
Tl2CdSi
1.0
5.099 0.000 0.000
0.000 4.467 0.000
0.000 0.000 4.467
Cd Si Tl
1 1 2
Direct
0.500 0.500 0.000 Cd
0.500 0.000 0.500 Si
0.000 0.000 0.000 Tl
0.000 0.500 0.500 Tl
```

Calculated values
SG: P4/mmm, No. 123
Offset from the most stable computed form in eV per atom: 0.1128


6.
## Tl2CdSi (PBE)

Data for a geometry-optimized Tl2CdSi structure.

The structure in POSCAR format:
```
Tl2CdSi
1.0
-7.456 -1.930 0.354
-4.204 -6.452 0.380
5.603 4.745 2.353
Cd Si Tl
1 1 2
Direct
0.750 0.250 0.500 Cd
0.250 0.750 0.500 Si
0.071 0.071 0.000 Tl
0.429 0.429 0.000 Tl
```

Calculated values
SG: Immm, No. 71
Offset from the most stable computed form in eV per atom: 0.0000